VASP calculation (PBE-GGA) on crystalline Hf2Nb2In at its relaxed geometry.

Geometry as POSCAR:
```
Hf2Nb2In
1.0
-1.9569 1.9569 7.3254
1.9569 -1.9569 7.3254
1.9569 1.9569 -7.3254
Hf Nb In
2 2 1
Cartesian
0.0000 0.0000 1.4650
0.0000 0.0000 13.1858
1.9569 0.0000 3.6627
0.0000 1.9569 3.6627
0.0000 0.0000 7.3254
```

## Properties
As for the density of states at the Fermi level: 1.28 states/eV per atom. For the energy above the most stable polymorph in this dataset, the calculation gives 518 meV/atom. For the total energy, the calculation gives -8.082 eV/atom. Its space group is I4/mmm.

---

VASP calculation (PBE-GGA) on crystalline Hf2Nb2In at its relaxed geometry.

Geometry as POSCAR:
```
Hf2Nb2In
1.0
-2.0594 2.0594 6.6468
2.0594 -2.0594 6.6468
2.0594 2.0594 -6.6468
Hf Nb In
2 2 1
Cartesian
2.0594 0.0000 3.3234
0.0000 2.0594 3.3234
0.0000 0.0000 1.2337
0.0000 0.0000 12.0600
0.0000 0.0000 6.6468
```

## Properties
As for the density of states at the Fermi level: 1.06 states/eV per atom. For the energy above the most stable polymorph in this dataset, the calculation gives 660 meV/atom. For the total energy, the calculation gives -7.940 eV/atom. Its space group is I4/mmm.

---

VASP calculation (PBE-GGA) on crystalline Hf2Nb2In3 at its relaxed geometry.

Geometry as POSCAR:
```
Hf2Nb2In3
1.0
2.3477 -10.3798 0.0000
2.3477 10.3798 0.0000
0.0000 0.0000 2.9837
Hf Nb In
2 2 3
Cartesian
2.3477 8.8606 0.0000
2.3477 -8.8606 0.0000
2.3477 5.9407 0.0000
2.3477 -5.9407 0.0000
2.3477 3.1754 1.4918
2.3477 0.0000 1.4918
2.3477 -3.1754 1.4918
```

## Properties
As for the density of states at the Fermi level: 0.60 states/eV per atom. For the total energy, the calculation gives -6.908 eV/atom. Its space group is Cmmm.

---

VASP calculation (PBE-GGA) on crystalline HfNb2In2 at its relaxed geometry.

Geometry as POSCAR:
```
HfNb2In2
1.0
4.9931 -1.9429 0.0000
4.9931 1.9429 0.0000
-4.9413 0.0000 5.2628
Hf Nb In
1 2 2
Cartesian
0.0000 0.0000 0.0000
-0.8730 0.0000 3.1857
5.9178 0.0000 2.0770
2.9961 0.0000 1.1347
2.0487 0.0000 4.1280
```

## Properties
As for the density of states at the Fermi level: 0.82 states/eV per atom. For the energy above the most stable polymorph in this dataset, the calculation gives 0 meV/atom. For the total energy, the calculation gives -7.135 eV/atom. Its space group is C2/m.

---

VASP calculation (PBE-GGA) on crystalline HfNb3In at its relaxed geometry.

Geometry as POSCAR:
```
HfNb3In
1.0
5.0049 0.0000 0.0000
0.0000 5.0049 0.0000
0.0000 0.0000 5.0049
Hf Nb In
1 3 1
Cartesian
0.0000 0.0000 0.0000
0.0000 2.5024 2.5024
2.5024 0.0000 2.5024
2.5024 2.5024 0.0000
2.5024 2.5024 2.5024
```

## Properties
As for the density of states at the Fermi level: 1.77 states/eV per atom. For the energy above the most stable polymorph in this dataset, the calculation gives 268 meV/atom. For the total energy, the calculation gives -6.910 eV/atom. Its space group is Pm-3m.

---

VASP calculation (PBE-GGA) on crystalline Hf2NbIn3 at its relaxed geometry.

Geometry as POSCAR:
```
Hf2NbIn3
1.0
3.1044 0.0000 0.0000
-0.0143 5.3194 0.0000
-1.4341 -0.2665 8.0021
Hf Nb In
2 1 3
Cartesian
-0.0095 2.0259 2.4930
1.6655 3.0270 5.5091
1.5451 2.6597 0.0000
0.0000 0.0000 0.0000
0.1155 0.4256 5.2960
1.5405 4.6273 2.7061
```

## Properties
As for the density of states at the Fermi level: 0.69 states/eV per atom. For the energy above the most stable polymorph in this dataset, the calculation gives 27 meV/atom. For the total energy, the calculation gives -6.327 eV/atom. Its space group is P-1.